GGA-PBE Y2ScGe3Ir4, optimized geometry; spin magnetization = 0.0 Bohr magnetons per cell; energy of formation = -809.1 kJ/mol of formula units; calculated volume = 18.674 Å³ per atom
1.0
4.111 0.000 0.000
0.000 4.111 0.000
0.000 0.000 11.048
Ir Ge Y Sc
4 3 2 1
Cartesian
2.056 0.000 7.202
0.000 2.056 3.847
2.056 2.056 0.000
0.000 0.000 0.000
0.000 2.056 1.401
0.000 0.000 5.524
2.056 0.000 9.647
2.056 0.000 2.571
0.000 2.056 8.478
2.056 2.056 5.524